[1]
A plane-wave DFT calculation with PBE-GGA was carried out for a geometry-optimized Li2Mg2Pt structure.

- total magnetization (μB/cell) = 0.0
- DOS at the Fermi energy (states/eV/atom) = 0.41
- SG = P4/mbm
- total DFT energy (no corrections) (eV/f.u.) = -14.37
- relative energy among the computed polymorphs (meV per atom) = 143

Unit cell a=6.326 b=6.326 c=4.187 alpha=90.00 beta=90.00 gamma=90.00
Fractional coordinates of all 10 atoms:
Li1 0.131 0.369 0.000
Li2 0.369 0.869 0.000
Li3 0.631 0.131 0.000
Li4 0.869 0.631 0.000
Mg1 0.190 0.690 0.500
Mg2 0.310 0.190 0.500
Mg3 0.690 0.810 0.500
Mg4 0.810 0.310 0.500
Pt1 0.000 0.000 0.000
Pt2 0.500 0.500 0.000

=====

[2]
A plane-wave DFT calculation with PBE-GGA was carried out for a geometry-optimized Li2MgPt structure.

- total magnetization (μB/cell) = 0.0
- DOS at the Fermi energy (states/eV/atom) = 0.50
- SG = P4mm
- total DFT energy (no corrections) (eV/f.u.) = -13.14

Unit cell a=3.230 b=3.230 c=6.301 alpha=90.00 beta=90.00 gamma=90.00
Fractional coordinates of all 4 atoms:
Li1 0.000 0.000 0.000
Li2 0.500 0.500 0.245
Mg1 0.000 0.000 0.563
Pt1 0.500 0.500 0.796

=====

[3]
A plane-wave DFT calculation with PBE-GGA was carried out for a geometry-optimized LiMgPt2 structure.

- total magnetization (μB/cell) = 0.0
- DOS at the Fermi energy (states/eV/atom) = 0.35
- SG = P4/mmm
- total DFT energy (no corrections) (eV/f.u.) = -18.43

Unit cell a=4.052 b=4.052 c=3.612 alpha=90.00 beta=90.00 gamma=90.00
Fractional coordinates of all 4 atoms:
Li1 0.000 0.000 0.000
Mg1 0.500 0.500 0.000
Pt1 0.000 0.500 0.500
Pt2 0.500 0.000 0.500

=====

[4]
A plane-wave DFT calculation with PBE-GGA was carried out for a geometry-optimized Li2MgPt structure.

- total magnetization (μB/cell) = 0.0
- DOS at the Fermi energy (states/eV/atom) = 0.30
- SG = P2/m
- total DFT energy (no corrections) (eV/f.u.) = -13.24

Unit cell a=2.895 b=4.582 c=4.796 alpha=90.00 beta=95.51 gamma=90.00
Fractional coordinates of all 4 atoms:
Li1 0.234 0.000 0.282
Li2 0.766 0.000 0.718
Mg1 0.500 0.500 0.000
Pt1 0.000 0.500 0.500

=====

[5]
A plane-wave DFT calculation with PBE-GGA was carried out for a geometry-optimized Li2MgPt structure.

- total magnetization (μB/cell) = 0.0
- DOS at the Fermi energy (states/eV/atom) = 0.34
- SG = Pmmm
- total DFT energy (no corrections) (eV/f.u.) = -13.21

Unit cell a=3.025 b=4.471 c=4.626 alpha=90.00 beta=90.00 gamma=90.00
Fractional coordinates of all 4 atoms:
Li1 0.000 0.000 0.000
Li2 0.500 0.500 0.000
Mg1 0.000 0.500 0.500
Pt1 0.500 0.000 0.500

=====

[6]
A plane-wave DFT calculation with PBE-GGA was carried out for a geometry-optimized LiMgPt2 structure.

- total magnetization (μB/cell) = 0.0
- DOS at the Fermi energy (states/eV/atom) = 0.19
- SG = P4mm
- total DFT energy (no corrections) (eV/f.u.) = -17.14

Unit cell a=2.865 b=2.865 c=7.864 alpha=90.00 beta=90.00 gamma=90.00
Fractional coordinates of all 4 atoms:
Li1 0.000 0.000 0.000
Mg1 0.500 0.500 0.312
Pt1 0.000 0.000 0.535
Pt2 0.500 0.500 0.794